1.
The following is a PBE calculation of a relaxed AlZnPt crystal, from the Alexandria database.

SG: P3m1 (156)
Total DFT energy (no corrections) in eV per atom: -4.17
DOS(E_F) in states/eV/atom: 0.300
Calculated formation energy in meV/atom: -486

The structure in CIF format:
```
data_AlZnPt
_symmetry_space_group_name_H-M 'P 1'
_symmetry_Int_Tables_number 1
_cell_length_a 4.287
_cell_length_b 4.287
_cell_length_c 2.915
_cell_angle_alpha 90.00
_cell_angle_beta 90.00
_cell_angle_gamma 120.00
loop_
_symmetry_equiv_pos_as_xyz
'x,y,z'
loop_
_atom_site_label
_atom_site_fract_x
_atom_site_fract_y
_atom_site_fract_z
Zn1 0.667 0.333 0.666
Al1 0.000 0.000 0.168
Pt1 0.333 0.667 0.165
```

---

2.
The following is a PBE calculation of a relaxed Nd4Hg5Ge2 crystal, from the Alexandria database.

SG: P2/m (10)
Total DFT energy (no corrections) in eV per atom: -3.22
DOS(E_F) in states/eV/atom: 0.765
Calculated formation energy in meV/atom: -508

The structure in CIF format:
```
data_Nd4Hg5Ge2
_symmetry_space_group_name_H-M 'P 1'
_symmetry_Int_Tables_number 1
_cell_length_a 4.088
_cell_length_b 7.803
_cell_length_c 9.249
_cell_angle_alpha 94.33
_cell_angle_beta 90.00
_cell_angle_gamma 90.00
loop_
_symmetry_equiv_pos_as_xyz
'x,y,z'
loop_
_atom_site_label
_atom_site_fract_x
_atom_site_fract_y
_atom_site_fract_z
Nd1 0.500 0.765 0.578
Nd2 0.500 0.195 0.855
Nd3 0.500 0.235 0.422
Nd4 0.500 0.805 0.145
Hg1 0.000 0.545 0.331
Hg2 0.000 0.150 0.131
Hg3 0.000 0.500 0.000
Hg4 0.000 0.850 0.869
Hg5 0.000 0.455 0.669
Ge1 0.000 0.069 0.627
Ge2 0.000 0.931 0.373
```

---

3.
The following is a PBE calculation of a relaxed Ni4H4Rh crystal, from the Alexandria database.

SG: C2/m (12)
Total DFT energy (no corrections) in eV per atom: -4.88
DOS(E_F) in states/eV/atom: 1.137

The structure in CIF format:
```
data_Ni4H4Rh
_symmetry_space_group_name_H-M 'P 1'
_symmetry_Int_Tables_number 1
_cell_length_a 3.759
_cell_length_b 4.613
_cell_length_c 4.611
_cell_angle_alpha 80.53
_cell_angle_beta 65.94
_cell_angle_gamma 65.96
loop_
_symmetry_equiv_pos_as_xyz
'x,y,z'
loop_
_atom_site_label
_atom_site_fract_x
_atom_site_fract_y
_atom_site_fract_z
Ni1 0.597 0.603 0.204
Ni2 0.403 0.397 0.796
Ni3 0.199 0.204 0.397
Ni4 0.801 0.796 0.603
H1 0.907 0.399 0.788
H2 0.093 0.601 0.212
H3 0.306 0.787 0.601
H4 0.694 0.213 0.399
Rh1 0.000 0.000 0.000
```

---

| no. | total magnetization (μB per formula unit) |
| --- | --- |
| 1 | 0.0 |
| 2 | 0.0 |
| 3 | 0.7 |